Entry from Alexandria via LeMat-Bulk: crystalline HgSb2Pb6 at its relaxed geometry (PBE).

Uncorrected energy (eV/cell): -60.9
Symmetry: No. 136
Total magnetization (μB/f.u.): 0.000
Uncorrected formation energy (kJ per mole of atoms): 4.0

Lattice parameters (Å, degrees): 5.0483 10.3896 10.3894 90.00 90.00 90.00
Element x y z (fractional)
Pb: 0.5000 0.1456 0.6456
Hg: 0.0000 0.0000 0.5000
Pb: 0.0000 0.3278 0.4867
Pb: 0.0000 0.0133 0.1722
Pb: 0.0000 0.6456 0.8544
Sb: 0.0000 0.6865 0.1865
Pb: 0.5000 0.1722 0.9867
Pb: 0.5000 0.4867 0.6722
Pb: 0.5000 0.8278 0.0133
Pb: 0.0000 0.6722 0.5133
Hg: 0.5000 0.5000 0.0000
Pb: 0.5000 0.8544 0.3544
Sb: 0.5000 0.8135 0.6865
Sb: 0.0000 0.3135 0.8135
Pb: 0.0000 0.9867 0.8278
Sb: 0.5000 0.1865 0.3135
Pb: 0.0000 0.3544 0.1456
Pb: 0.5000 0.5133 0.3278

Entry from Alexandria via LeMat-Bulk: crystalline GeMoC2 at its relaxed geometry (PBE).

Uncorrected energy (eV/cell): -61.5
Formation energy from the elements (kJ/mol of atoms): 75
Symmetry: No. 122
Total magnetization (μB/f.u.): 0.000

Lattice parameters (Å, degrees): 4.7917 4.7917 5.6474 64.90 64.90 90.00
Element x y z (fractional)
C: 0.3750 0.3782 0.7500
C: 0.1282 0.6250 0.2500
C: 0.6218 0.1250 0.2500
Mo: 0.7500 0.2500 0.5000
Ge: 0.2500 0.7500 0.5000
Ge: 0.5000 0.5000 0.0000
C: 0.8750 0.8718 0.7500
Mo: 0.0000 0.0000 0.0000

- What is the formula in the second record?
  GeMoC2